Crystalline BaMnTl2 at its relaxed geometry, computed with PBE.

Total energy in eV for the cell shown: -14.974
ρ in g/cm³: 8.096
Spin magnetization in Bohr magnetons per cell: 4.3

Cell lengths 3.9410, 3.9410, 7.9372 Å; angles 90.00, 90.00, 90.00 degrees
Last column: nearest neighbours and their distance in Å.
Space group P4mm (No. 99)
Unique sites:
Ba 0.0000 0.0000 0.0000  5 Tl 3.56-3.68, 4 Mn 3.74, 4 Ba 3.94
Mn 0.5000 0.5000 0.3147  5 Tl 2.98-3.03
Tl 0.0000 0.0000 0.4483  4 Mn 2.98
Tl 0.5000 0.5000 0.6968  1 Mn 3.03



Crystalline BaMnTl at its relaxed geometry, computed with PBE.

Relative energy among the computed polymorphs in meV/atom: 620.6
ρ in g/cm³: 5.589
Spin magnetization in Bohr magnetons per cell: 15.9

Cell lengths 7.7827, 7.7827, 7.7827 Å; angles 90.00, 90.00, 90.00 degrees
Last column: nearest neighbours and their distance in Å.
Space group F-43m (No. 216)
Unique sites:
Ba 0.0000 0.0000 0.0000  4 Mn 3.37, 4 Tl 3.37
Mn 0.2500 0.2500 0.2500  4 Ba 3.37
Tl 0.2500 0.2500 0.7500  4 Ba 3.37



Crystalline Ba2MnTl at its relaxed geometry, computed with PBE.

Total energy in eV for the cell shown: -56.391
ρ in g/cm³: 4.874
Spin magnetization in Bohr magnetons per cell: 10.1

Cell lengths 11.7566, 11.7566, 5.2652 Å; angles 90.00, 90.00, 90.00 degrees
Last column: nearest neighbours and their distance in Å.
Space group I-42d (No. 122)
Unique sites:
Ba 0.0785 0.2500 0.1250  2 Mn 3.15
Mn 0.0000 0.0000 0.0000  2 Tl 2.63
Tl 0.0000 0.0000 0.5000  2 Mn 2.63



Crystalline BaMn2Tl at its relaxed geometry, computed with PBE.

Relative energy among the computed polymorphs in meV/atom: 339.8
ρ in g/cm³: 7.060
Spin magnetization in Bohr magnetons per cell: 7.6

Cell lengths 3.7519, 3.7519, 7.5458 Å; angles 90.00, 90.00, 90.00 degrees
Last column: nearest neighbours and their distance in Å.
Space group P4/mmm (No. 123)
Unique sites:
Ba 0.0000 0.0000 0.0000  8 Mn 3.60, 4 Ba 3.75, 2 Tl 3.77
Mn 0.5000 0.5000 0.3225  1 Mn 2.68, 4 Tl 2.97
Tl 0.0000 0.0000 0.5000  8 Mn 2.97



Crystalline BaMnTl at its relaxed geometry, computed with PBE.

Relative energy among the computed polymorphs in meV/atom: 232.6
ρ in g/cm³: 6.544
Spin magnetization in Bohr magnetons per cell: 16.2

Cell lengths 7.3839, 7.3839, 7.3839 Å; angles 90.00, 90.00, 90.00 degrees
Last column: nearest neighbours and their distance in Å.
Space group F-43m (No. 216)
Unique sites:
Ba 0.0000 0.0000 0.0000  4 Mn 3.20
Mn 0.2500 0.2500 0.2500  4 Ba 3.20, 4 Tl 3.20
Tl 0.0000 0.0000 0.5000  4 Mn 3.20



Crystalline Ba4MnTl at its relaxed geometry, computed with PBE.

Total energy in eV for the cell shown: -61.624
ρ in g/cm³: 4.847
Spin magnetization in Bohr magnetons per cell: 13.6

Cell lengths 10.3478, 10.3478, 10.3478 Å; angles 90.00, 90.00, 90.00 degrees
Last column: nearest neighbours and their distance in Å.
Space group F-43m (No. 216)
Unique sites:
Ba 0.1252 0.1252 0.1252  6 Ba 3.65-3.67
Mn 0.2500 0.2500 0.7500  12 Ba 4.29, 4 Tl 4.48
Tl 0.0000 0.0000 0.5000  12 Ba 4.29, 4 Mn 4.48



Crystalline BaMn2Tl at its relaxed geometry, computed with PBE.

Relative energy among the computed polymorphs in meV/atom: 206.2
ρ in g/cm³: 7.331
Spin magnetization in Bohr magnetons per cell: 7.6

Cell lengths 3.5798, 3.5798, 7.9823 Å; angles 90.00, 90.00, 90.00 degrees
Last column: nearest neighbours and their distance in Å.
Space group P4mm (No. 99)
Unique sites:
Ba 0.0000 0.0000 0.0000  5 Mn 3.51-3.63, 4 Ba 3.58, 4 Tl 3.68
Mn 0.0000 0.0000 0.4547  4 Mn 2.80, 4 Tl 3.04
Mn 0.5000 0.5000 0.3051  4 Mn 2.80, 1 Tl 2.87
Tl 0.5000 0.5000 0.6649  5 Mn 2.87-3.04



Crystalline BaMnTl at its relaxed geometry, computed with PBE.

Relative energy among the computed polymorphs in meV/atom: 36.2
ρ in g/cm³: 6.956
Spin magnetization in Bohr magnetons per cell: 14.9

Cell lengths 12.6747, 4.6394, 8.1440 Å; angles 90.00, 127.74, 90.00 degrees
Last column: nearest neighbours and their distance in Å.
Space group C2/m (No. 12)
Unique sites:
Ba 0.0679 0.0000 0.2998  5 Mn 3.45-3.78, 6 Tl 3.77-3.85
Mn 0.1281 0.5000 0.6853  1 Mn 2.77, 3 Tl 2.89-2.91
Tl 0.2052 0.5000 0.1031  3 Mn 2.89-2.91



- Which value of spin magnetization does entry 7 give?
  7.6 Bohr magnetons per cell